No. 1
Material: AcGa2Co2P
Method: DFT, PBE-GGA
State: optimized geometry

Cell and atoms, written as POSCAR:
```
AcGa2Co2P
1.0
4.290 0.000 0.000
0.000 4.290 0.000
0.000 0.000 5.927
Ac Ga Co P
1 2 2 1
Direct
0.000 0.000 0.000
0.500 0.500 0.258
0.500 0.500 0.742
0.000 0.500 0.500
0.500 0.000 0.500
0.000 0.000 0.500
```

Space-group type   P4/mmm, No. 123
Raw total energy   -5.41 eV/atom
ΔH_f (0 K)   -0.444 eV/atom

***

No. 2
Material: AcGa3CoPd
Method: DFT, PBE-GGA
State: optimized geometry

Cell and atoms, written as POSCAR:
```
AcGa3CoPd
1.0
3.382 -5.609 0.000
3.382 5.609 0.000
0.000 0.000 6.657
Ac Ga Co Pd
2 6 2 2
Direct
0.250 0.750 0.750
0.750 0.250 0.250
0.234 0.766 0.250
0.236 0.236 0.000
0.236 0.236 0.500
0.764 0.764 0.000
0.764 0.764 0.500
0.766 0.234 0.750
0.036 0.964 0.250
0.964 0.036 0.750
0.447 0.553 0.250
0.553 0.447 0.750
```

Space-group type   Cmcm, No. 63
Raw total energy   -4.66 eV/atom
ΔH_f (0 K)   -0.415 eV/atom